Below is InAg2Mo after structural relaxation, with properties calculated at the GGA-PBE level.

The structure belongs to space group F-43m (No. 216); the cell edges are 6.6682, 6.6682 and 6.6682 Å and the angles 90.00°, 90.00° and 90.00°. Symmetry generates all atoms from In at (0.0000, 0.0000, 0.0000), Ag at (0.0000, 0.0000, 0.5000), Ag at (0.2500, 0.2500, 0.2500) and Mo at (0.2500, 0.2500, 0.7500).

For the formation energy, the calculation gives 1.88 eV per formula unit.